Computed, not measured: TiTlNi2N after structural relaxation at the PBE-GGA level of DFT.

Calculated values
Fermi-level density of states (states/eV per atom): 0.537
Total DFT energy (no corrections) (eV per cell): -27.02
Formation energy without anion corrections (eV per atom): 0.63
Calculated volume (Å³/cell): 82.7

Unit cell a=4.6576 b=4.6576 c=3.8137 alpha=90.00 beta=90.00 gamma=90.00
Space group P4/mmm (No. 123)
Asymmetric unit:
Ti: 0.0000 0.0000 0.0000
Tl: 0.5000 0.5000 0.5000
Ni: 0.0000 0.5000 0.0000
N: 0.0000 0.0000 0.5000

***

Computed, not measured: ZnCuTe2 after structural relaxation at the PBE-GGA level of DFT.

Calculated values
Fermi-level density of states (states/eV per atom): 0.735
Total DFT energy (no corrections) (eV per cell): -41.11
Formation energy without anion corrections (eV per atom): 0.34
Calculated volume (Å³/cell): 344.5

Unit cell a=7.0104 b=7.0104 c=7.0104 alpha=90.00 beta=90.00 gamma=90.00
Space group Fm-3m (No. 225)
Asymmetric unit:
Zn: 0.0000 0.0000 0.0000
Cu: 0.0000 0.0000 0.5000
Te: 0.2500 0.2500 0.2500

***

Computed, not measured: Tl2CuHgSb2 after structural relaxation at the PBE-GGA level of DFT.

Calculated values
Fermi-level density of states (states/eV per atom): 0.215
Total DFT energy (no corrections) (eV per cell): -68.32
Formation energy without anion corrections (eV per atom): 0.05
Calculated volume (Å³/cell): 658.3

Unit cell a=6.0961 b=17.5451 c=6.1545 alpha=90.00 beta=90.00 gamma=90.00
Space group Ibam (No. 72)
Asymmetric unit:
Tl: 0.1905 0.1865 0.0000
Cu: 0.0000 0.5000 0.2500
Hg: 0.0000 0.0000 0.2500
Sb: 0.1861 0.3941 0.0000

***

Computed, not measured: GaPt after structural relaxation at the PBE-GGA level of DFT.

Calculated values
Fermi-level density of states (states/eV per atom): 0.586
Total DFT energy (no corrections) (eV per cell): -20.31
Calculated volume (Å³/cell): 63.8

Unit cell a=3.4650 b=3.4650 c=5.3159 alpha=90.00 beta=90.00 gamma=90.00
Space group P4/nmm (No. 129, origin choice 2)
Asymmetric unit:
Ga: 0.2500 0.2500 0.1617
Pt: 0.2500 0.2500 0.6733